Entry from Alexandria: crystalline BaTbPt10 at its relaxed geometry (PBE).

Properties
The total energy comes out at -74.1 eV/cell. As for the formation energy from the elements: -597 meV per atom. The symmetry is Pmmm. The total magnetization is 0.000 μB/f.u.

a = 4.416 Å, b = 5.499 Å, c = 9.485 Å
α = 90.00°, β = 90.00°, γ = 90.00°
Fractional positions:
Ba: 0.000 0.000 0.000
Tb: 0.000 0.500 0.500
Pt: 0.000 0.000 0.342
Pt: 0.000 0.000 0.658
Pt: 0.000 0.500 0.179
Pt: 0.000 0.500 0.821
Pt: 0.500 0.000 0.500
Pt: 0.500 0.254 0.259
Pt: 0.500 0.254 0.741
Pt: 0.500 0.500 0.000
Pt: 0.500 0.746 0.259
Pt: 0.500 0.746 0.741